Entry 1:
# NiHg2W

A crystal of NiHg2W relaxed with PBEsol (SCAN, Alexandria via LeMat-Bulk).

The space group is Cm (No. 8) and the conventional cell measures 8.8596, 2.8449 and 5.3892 Å, with angles of 90.00, 98.18 and 90.00 degrees. The distinct sites, in fractional coordinates, are Ni at (0.0000, 0.0000, 0.0000), Hg at (0.0088, 0.5000, 0.5615), Hg at (0.2483, 0.5000, 0.2799) and W at (0.2627, 0.0000, 0.8274).

For the density of states at the Fermi level, the calculation gives 5.3 states/eV/cell. The formation enthalpy at 0 K is 2.7 eV per formula unit. The excess energy over the best structure of this formula in the dataset comes out at 291 meV/atom.

=====

Entry 2:
# NiHg2W

A crystal of NiHg2W relaxed with PBEsol (SCAN, Alexandria via LeMat-Bulk).

The space group is Pmmm (No. 47) and the conventional cell measures 2.9249, 4.7776 and 4.7808 Å, with angles of 90.00, 90.00 and 90.00 degrees. The distinct sites, in fractional coordinates, are Ni at (0.0000, 0.0000, 0.0000), Hg at (0.0000, 0.5000, 0.5000), Hg at (0.5000, 0.5000, 0.0000) and W at (0.5000, 0.0000, 0.5000).

For the density of states at the Fermi level, the calculation gives 2.8 states/eV/cell. The formation enthalpy at 0 K is 3.4 eV per formula unit. The excess energy over the best structure of this formula in the dataset comes out at 461 meV/atom.